VASP calculation (PBE-GGA) on a relaxed LaSi2 crystal.

Unit cell a=11.1757 b=3.9732 c=6.2239 alpha=90.00 beta=103.01 gamma=90.00
Closest atoms and distances in Å follow each position.
Space group C2/m (No. 12)
Symmetry-distinct sites (fractional):
La1 0.1768 0.0000 0.2156  10 Si 3.10-3.40
Si1 0.0500 0.5000 0.8460  3 Si 2.41-2.43
Si2 0.0909 0.0000 0.6563  3 Si 2.41-2.48

M_tot = 0.000 μB per atom
formation energy (no corrections) = -586 meV per atom

VASP calculation (PBE-GGA) on a relaxed SrAc4La crystal.

Unit cell a=3.9869 b=3.9869 c=16.9650 alpha=90.00 beta=90.00 gamma=90.00
Closest atoms and distances in Å follow each position.
Space group P4/mmm (No. 123)
Symmetry-distinct sites (fractional):
Sr1 0.0000 0.0000 0.0000  4 Sr 3.99, 8 Ac 4.19
Ac1 0.0000 0.0000 0.3430  4 La 3.88, 8 Ac 3.92-3.99
Ac2 0.5000 0.5000 0.1824  8 Ac 3.92-3.99, 4 Sr 4.19
La1 0.5000 0.5000 0.5000  8 Ac 3.88, 4 La 3.99

M_tot = 0.002 μB per atom
formation enthalpy at 0 K = 0.2 eV/f.u.
distance to the lowest polymorph of the same formula = 0.0 kJ per mole of atoms

VASP calculation (PBE-GGA) on a relaxed LiHoThSi crystal.

Unit cell a=7.1413 b=7.1413 c=7.1413 alpha=90.00 beta=90.00 gamma=90.00
Closest atoms and distances in Å follow each position.
Space group F-43m (No. 216)
Symmetry-distinct sites (fractional):
Li1 0.0000 0.0000 0.0000  4 Th 3.09, 4 Ho 3.09
Ho1 0.2500 0.2500 0.2500  4 Li 3.09, 4 Si 3.09
Th1 0.2500 0.2500 0.7500  4 Li 3.09, 4 Si 3.09
Si1 0.0000 0.0000 0.5000  4 Th 3.09, 4 Ho 3.09

M_tot = 0.000 μB per atom
formation energy (no corrections) = -223 meV per atom

VASP calculation (PBE-GGA) on a relaxed Nd2Ga7Ni crystal.

Unit cell a=4.2438 b=4.2438 c=10.6800 alpha=90.00 beta=90.00 gamma=90.00
Closest atoms and distances in Å follow each position.
Space group P-4m2 (No. 115)
Symmetry-distinct sites (fractional):
Nd1 0.0000 0.5000 0.2412  14 Ga 3.24-3.48, 2 Ni 3.34
Ga1 0.0000 0.0000 0.0000  4 Ga 2.49
Ga2 0.0000 0.0000 0.5000  4 Ga 2.62
Ga3 0.0000 0.5000 0.6435  5 Ga 2.50-2.62
Ga4 0.0000 0.5000 0.8772  2 Ni 2.49, 3 Ga 2.49-2.50
Ga5 0.5000 0.5000 0.5000  4 Ga 2.62
Ni1 0.5000 0.5000 0.0000  4 Ga 2.49

M_tot = 0.000 μB per atom
formation enthalpy at 0 K = -5.0 eV/f.u.

VASP calculation (PBE-GGA) on a relaxed CaNbTe crystal.

Unit cell a=4.7870 b=4.7870 c=3.8951 alpha=90.00 beta=90.00 gamma=120.00
Closest atoms and distances in Å follow each position.
Space group P-6m2 (No. 187)
Symmetry-distinct sites (fractional):
Ca1 0.0000 0.0000 0.0000  6 Nb 3.38, 6 Te 3.38
Nb1 0.3333 0.6667 0.5000  3 Te 2.76
Te1 0.6667 0.3333 0.5000  3 Nb 2.76

M_tot = 0.239 μB per atom
formation energy (no corrections) = -7 meV per atom
distance to the lowest polymorph of the same formula = 46.2 kJ per mole of atoms

VASP calculation (PBE-GGA) on a relaxed Dy2PuTe3 crystal.

Unit cell a=4.3638 b=6.1904 c=13.1676 alpha=90.00 beta=90.00 gamma=90.00
Closest atoms and distances in Å follow each position.
Space group Immm (No. 71)
Symmetry-distinct sites (fractional):
Dy1 0.0000 0.0000 0.1664  6 Te 3.07-3.10
Pu1 0.0000 0.0000 0.5000  6 Te 3.10-3.12
Te1 0.0000 0.5000 0.1692  4 Dy 3.07-3.10, 2 Pu 3.12
Te2 0.0000 0.5000 0.5000  4 Dy 3.09, 2 Pu 3.10

M_tot = 1.013 μB per atom
formation energy (no corrections) = -1242 meV per atom

VASP calculation (PBE-GGA) on a relaxed Ca8Mn3N9 crystal.

Unit cell a=7.1921 b=10.1059 c=18.0281 alpha=90.00 beta=106.16 gamma=90.00
Closest atoms and distances in Å follow each position.
Space group P2_1/c (No. 14)
Symmetry-distinct sites (fractional):
Ca1 0.0147 0.1202 0.1454  4 N 2.38-2.61
Ca2 0.0771 0.6194 0.1458  5 N 2.47-2.69
Ca3 0.1907 0.1291 0.5502  5 N 2.49-2.58
Ca4 0.2220 0.6194 0.5702  6 N 2.48-2.77
Ca5 0.2500 0.6363 0.7700  6 N 2.46-2.69
Ca6 0.2743 0.1252 0.7827  5 N 2.44-2.68
Ca7 0.4771 0.6263 0.4187  5 N 2.49-2.57
Ca8 0.4825 0.1271 0.4237  5 N 2.41-2.70
Mn1 0.2019 0.1330 0.9385  3 N 1.71-1.76
Mn2 0.2035 0.6177 0.9303  3 N 1.74-1.78
Mn3 0.4614 0.6238 0.2546  3 N 1.69-1.78
N1 0.0054 0.1267 0.6506  1 Mn 1.78
N2 0.0205 0.1468 0.8506  1 Mn 1.76
N3 0.1522 0.1287 0.0259  1 Mn 1.71
N4 0.1715 0.6164 0.0226  1 Mn 1.74
N5 0.2489 0.6149 0.2865  1 Mn 1.78
N6 0.3380 0.0436 0.1945  1 Mn 1.69
N7 0.4281 0.7337 0.1813  1 Mn 1.69
N8 0.4372 0.1193 0.9359  1 Mn 1.71
N9 0.4381 0.6214 0.9211  1 Mn 1.74

M_tot = 0.200 μB per atom
formation energy (no corrections) = -837 meV per atom

VASP calculation (PBE-GGA) on a relaxed Li7InPd4 crystal.

Unit cell a=12.7558 b=4.6425 c=7.5278 alpha=90.00 beta=122.04 gamma=90.00
Closest atoms and distances in Å follow each position.
Space group C2/m (No. 12)
Symmetry-distinct sites (fractional):
Li1 0.0000 0.0000 0.0000  2 In 2.32, 4 Pd 2.36-2.52
Li2 0.0805 0.5000 0.4331  3 Pd 2.54-2.71, 1 Li 2.72
Li3 0.1962 0.5000 0.8782  3 Pd 2.72-2.84, 7 Li 2.82-3.03
Li4 0.2357 0.0000 0.6956  4 Pd 2.44-2.59
In1 0.0000 0.5000 0.0000  2 Li 2.32
Pd1 0.0465 0.0000 0.7138  4 Li 2.49-2.71, 2 Pd 2.78
Pd2 0.1849 0.0000 0.3340  5 Li 2.36-2.59

M_tot = 0.000 μB per atom
formation enthalpy at 0 K = -2.6 eV/f.u.

VASP calculation (PBE-GGA) on a relaxed ScCdB crystal.

Unit cell a=3.1890 b=3.6403 c=16.7857 alpha=90.00 beta=90.00 gamma=90.00
Closest atoms and distances in Å follow each position.
Space group Amm2 (No. 38)
Symmetry-distinct sites (fractional):
Sc1 0.0000 0.0000 0.0000  1 B 2.98, 8 Cd 3.05-3.08, 2 Sc 3.19
Sc2 0.0000 0.0000 0.2261  6 B 2.44-2.59
Cd1 0.5000 0.0000 0.3897  6 B 2.57-2.67
Cd2 0.5000 0.0000 0.6135  1 B 2.82, 8 Sc 3.07-3.08
B1 0.0000 0.0000 0.8227  2 B 1.74
B2 0.5000 0.0000 0.7814  2 B 1.74

M_tot = 0.049 μB per atom
formation enthalpy at 0 K = -0.4 eV/f.u.
distance to the lowest polymorph of the same formula = 34.5 kJ per mole of atoms

VASP calculation (PBE-GGA) on a relaxed ReAg2GeRh crystal.

Unit cell a=4.7158 b=4.7158 c=4.5843 alpha=90.00 beta=90.00 gamma=90.00
Closest atoms and distances in Å follow each position.
Space group P4/mmm (No. 123)
Symmetry-distinct sites (fractional):
Re1 0.0000 0.0000 0.0000  8 Ag 3.29, 4 Rh 3.33
Ag1 0.0000 0.5000 0.5000  2 Ge 2.36
Ge1 0.5000 0.5000 0.5000  2 Rh 2.29, 4 Ag 2.36
Rh1 0.5000 0.5000 0.0000  2 Ge 2.29

M_tot = 0.766 μB per atom
formation enthalpy at 0 K = 6.9 eV/f.u.

VASP calculation (PBE-GGA) on a relaxed Ho4ZnIr2 crystal.

Unit cell a=4.6118 b=4.6118 c=28.2003 alpha=90.00 beta=90.00 gamma=120.00
Closest atoms and distances in Å follow each position.
Space group R-3m (No. 166, hexagonal axes)
Symmetry-distinct sites (fractional):
Ho1 0.0000 0.0000 0.1132  3 Ir 2.89, 3 Zn 3.06
Ho2 0.0000 0.0000 0.2970  4 Ir 2.86-3.10
Zn1 0.0000 0.0000 0.5000  2 Ir 2.62
Ir1 0.0000 0.0000 0.4070  1 Zn 2.62, 6 Ho 2.86-2.89

M_tot = 0.000 μB per atom
formation enthalpy at 0 K = -4.5 eV/f.u.
distance to the lowest polymorph of the same formula = 3.5 kJ per mole of atoms

VASP calculation (PBE-GGA) on a relaxed Ho2Er3Cd crystal.

Unit cell a=3.5230 b=3.5230 c=14.0841 alpha=90.00 beta=90.00 gamma=90.00
Closest atoms and distances in Å follow each position.
Space group P4/mmm (No. 123)
Symmetry-distinct sites (fractional):
Ho1 0.0000 0.0000 0.1761  8 Er 3.51-3.52, 4 Ho 3.52
Er1 0.5000 0.5000 0.0000  8 Ho 3.51, 4 Er 3.52
Er2 0.5000 0.5000 0.3521  4 Cd 3.25, 4 Ho 3.52, 4 Er 3.52
Cd1 0.0000 0.0000 0.5000  8 Er 3.25, 4 Cd 3.52

M_tot = 0.000 μB per atom
formation enthalpy at 0 K = -0.5 eV/f.u.
distance to the lowest polymorph of the same formula = 0.0 kJ per mole of atoms

VASP calculation (PBE-GGA) on a relaxed Ti6HN5 crystal.

Unit cell a=5.2113 b=9.0198 c=5.1981 alpha=90.00 beta=109.59 gamma=90.00
Closest atoms and distances in Å follow each position.
Space group C2/m (No. 12)
Symmetry-distinct sites (fractional):
Ti1 0.2397 0.0000 0.2586  5 N 2.05-2.12, 1 H 2.21
Ti2 0.2427 0.1737 0.7456  5 N 2.07-2.15, 1 H 2.19
H1 0.0000 0.5000 0.0000  6 Ti 2.19-2.21
N1 0.0000 0.0000 0.5000  6 Ti 2.05-2.15
N2 0.0000 0.1651 0.0000  6 Ti 2.11-2.12
N3 0.0000 0.3352 0.5000  6 Ti 2.07-2.14

M_tot = 0.000 μB per atom
raw total energy = -9.25 eV/atom

VASP calculation (PBE-GGA) on a relaxed Li2TeMo crystal.

Unit cell a=2.8915 b=2.8915 c=9.2369 alpha=90.00 beta=90.00 gamma=90.00
Closest atoms and distances in Å follow each position.
Space group P4/mmm (No. 123)
Symmetry-distinct sites (fractional):
Li1 0.0000 0.0000 0.2329  4 Li 2.89, 4 Mo 2.97, 4 Te 3.20
Te1 0.5000 0.5000 0.5000  4 Te 2.89, 8 Li 3.20
Mo1 0.5000 0.5000 0.0000  4 Mo 2.89, 8 Li 2.97

M_tot = 0.000 μB per atom
formation energy (no corrections) = 314 meV per atom

VASP calculation (PBE-GGA) on a relaxed GaMoH3 crystal.

Unit cell a=3.4459 b=3.4459 c=3.4459 alpha=90.00 beta=90.00 gamma=90.00
Closest atoms and distances in Å follow each position.
Space group Pm-3m (No. 221)
Symmetry-distinct sites (fractional):
Ga1 0.0000 0.0000 0.0000  6 H 1.72
Mo1 0.5000 0.5000 0.5000  12 H 2.44
H1 0.0000 0.0000 0.5000  2 Ga 1.72

M_tot = 0.000 μB per atom
distance to the lowest polymorph of the same formula = 53.6 kJ per mole of atoms